Entry from the Alexandria database: a relaxed Na2BiWN crystal (PBEsol). Values from VASP.

Quantum ESPRESSO input file:
```
&SYSTEM
  ibrav = 0, nat = 5, ntyp = 4
/
ATOMIC_SPECIES
Na 22.99 Na.upf
Bi 208.98 Bi.upf
W 183.84 W.upf
N 14.01 N.upf
ATOMIC_POSITIONS angstrom
Na 0.000 2.199 0.000
Na 2.199 0.000 0.000
Bi 0.000 0.000 2.525
W 2.199 2.199 2.525
N 0.000 0.000 0.000
CELL_PARAMETERS angstrom
4.397 0.000 0.000
0.000 4.397 0.000
0.000 0.000 5.051
```

Values from the calculation:
Space-group type: P4/mmm, No. 123
D(E_F), states/eV per atom: 0.548
Raw total energy, eV per atom: -4.649